# BaAu2S4O16 (PBE-GGA, relaxed)
# Raw total energy = -0.424 Ry per atom
data_BaAu2S4O16
_chemical_formula_sum 'Ba2 Au4 S8 O32'
_cell_length_a 9.2751
_cell_length_b 9.0772
_cell_length_c 8.8870
_cell_angle_alpha 90.00
_cell_angle_beta 110.06
_cell_angle_gamma 90.00
_space_group_name_H-M_alt 'C 1 2/m 1'
_space_group_IT_number 12
loop_
_space_group_symop_operation_xyz
'x,y,z'
'-x,-y,-z'
'-x,y,-z'
'x,-y,z'
'x+1/2,y+1/2,z'
'-x+1/2,-y+1/2,-z'
'-x+1/2,y+1/2,-z'
'x+1/2,-y+1/2,z'
loop_
_atom_site_label
_atom_site_fract_x
_atom_site_fract_y
_atom_site_fract_z
_atom_site_occupancy
Ba1 0.0000 0.0000 0.0000 1
Au1 0.0000 0.0000 0.5000 1
Au2 0.0000 0.5000 0.5000 1
S1 0.1678 0.2504 0.7270 1
O1 0.0221 0.3468 0.6722 1
O2 0.1537 0.1625 0.8565 1
O3 0.1676 0.1530 0.5846 1
O4 0.1955 0.1606 0.2385 1



# PaZnFe (PBE-GGA, relaxed)
# Calculated formation energy = 0.855 eV per atom
# Raw total energy = -0.404 Ry per atom
data_PaZnFe
_chemical_formula_sum 'Pa4 Zn4 Fe4'
_cell_length_a 6.3166
_cell_length_b 6.3166
_cell_length_c 6.3166
_cell_angle_alpha 90.00
_cell_angle_beta 90.00
_cell_angle_gamma 90.00
_space_group_name_H-M_alt 'F -4 3 m'
_space_group_IT_number 216
_space_group_name_Hall 'F -4 2 3'
loop_
_atom_site_label
_atom_site_fract_x
_atom_site_fract_y
_atom_site_fract_z
_atom_site_occupancy
Pa1 0.0000 0.0000 0.0000 1
Zn1 0.2500 0.2500 0.2500 1
Fe1 0.2500 0.2500 0.7500 1



# AlCoB2 (PBE-GGA, relaxed)
# Raw total energy = -0.386 Ry per atom
data_AlCoB2
_chemical_formula_sum 'Al4 Co4 B8'
_cell_length_a 5.2385
_cell_length_b 5.2385
_cell_length_c 5.2385
_cell_angle_alpha 90.00
_cell_angle_beta 90.00
_cell_angle_gamma 90.00
_space_group_name_H-M_alt 'F -4 3 m'
_space_group_IT_number 216
_space_group_name_Hall 'F -4 2 3'
loop_
_atom_site_label
_atom_site_fract_x
_atom_site_fract_y
_atom_site_fract_z
_atom_site_occupancy
Al1 0.0000 0.0000 0.0000 1
Co1 0.2500 0.2500 0.2500 1
B1 0.0000 0.0000 0.5000 1
B2 0.2500 0.2500 0.7500 1



# CsDySO (PBE-GGA, relaxed)
# Raw total energy = -0.425 Ry per atom
data_CsDySO
_chemical_formula_sum 'Cs2 Dy2 S2 O2'
_cell_length_a 3.7619
_cell_length_b 3.7619
_cell_length_c 14.9734
_cell_angle_alpha 90.00
_cell_angle_beta 90.00
_cell_angle_gamma 120.00
_space_group_name_H-M_alt 'P 63 m c'
_space_group_IT_number 186
_space_group_name_Hall 'P 6c -2c'
loop_
_atom_site_label
_atom_site_fract_x
_atom_site_fract_y
_atom_site_fract_z
_atom_site_occupancy
Cs1 0.3333 0.6667 0.0000 1
Dy1 0.0000 0.0000 0.2262 1
S1 0.3333 0.6667 0.3368 1
O1 0.3333 0.6667 0.6624 1



Among the records above, which one has the lowest raw total energy? CsDySO



What is the raw total energy in the third record? -0.386 Ry per atom



Which formula does entry 3 have? AlCoB2



Number 3 is which compound? AlCoB2